FeI2F: optimized geometry, PBE+U.

```
4
Lattice="0.000 3.522 3.522 3.522 0.000 3.522 3.522 3.522 0.000" Properties=species:S:1:pos:R:3 pbc="T T T"
I 1.761 1.761 1.761
I 5.283 5.283 5.283
Fe 3.522 3.522 3.522
F 0.000 0.000 0.000
```

As for the uncorrected energy: -2.70 eV/atom. The calculation puts the density of states at the Fermi level at 1.65 states/eV/cell. As for the space group: Fm-3m. The size of the total moment is 4.9 μB per formula unit. The calculation puts the density at 6.25 g cm⁻³.